MnTl4Cu | GGA-PBE | relaxed

Summary:
D(E_F)   4.1 states/eV per cell
SG   F-43m, No. 216
Formation energy   0.752 eV per atom

a b c (Å): 6.268 6.268 6.268
angles (deg): 60.00 60.00 60.00
Site moments in Bohr magnetons follow the coordinates.
Element x y z (fractional)
Tl1 0.375 0.875 0.375  -0.01
Tl2 0.375 0.375 0.375  -0.01
Tl3 0.875 0.375 0.375  -0.01
Tl4 0.375 0.375 0.875  -0.01
Mn1 0.000 0.000 0.000  4.37
Cu1 0.750 0.750 0.750  0.02